1.
Density functional theory data (GGA-PBE) for PbAu5 after structural relaxation.

CIF file:
```
data_PbAu5
_space_group_name_H-M_alt 'P -6 2 m'
_space_group_IT_number 189
_space_group_name_Hall 'P -6 -2'
_cell_length_a 5.6539
_cell_length_b 5.6539
_cell_length_c 4.6162
_cell_angle_alpha 90.00
_cell_angle_beta 90.00
_cell_angle_gamma 120.00
loop_
_atom_site_label
_atom_site_type_symbol
_atom_site_fract_x
_atom_site_fract_y
_atom_site_fract_z
Pb1 Pb 0.0000 0.0000 0.0000
Au1 Au 0.0000 0.5578 0.5000
Au2 Au 0.3333 0.6667 0.0000
```

Computed properties:
The value obtained for the mass density is 15489 kg/m³. The calculation puts the calculated total energy at -3.3481 eV per atom. The value obtained for the formation energy is 1 meV per atom. As for the density of states at the Fermi level: 2.04 states/eV per cell.


2.
Density functional theory data (GGA-PBE) for Pb5Au after structural relaxation.

CIF file:
```
data_Pb5Au
_space_group_name_H-M_alt 'A m m 2'
_space_group_IT_number 38
_space_group_name_Hall 'A 2 -2'
_cell_length_a 5.771
_cell_length_b 3.421
_cell_length_c 18.012
_cell_angle_alpha 90.00
_cell_angle_beta 90.00
_cell_angle_gamma 90.00
loop_
_atom_site_label
_atom_site_type_symbol
_atom_site_fract_x
_atom_site_fract_y
_atom_site_fract_z
Pb1 Pb 0.000 0.000 0.000
Pb2 Pb 0.000 0.000 0.283
Pb3 Pb 0.500 0.000 0.142
Pb4 Pb 0.500 0.000 0.474
Pb5 Pb 0.500 0.000 0.810
Au1 Au 0.000 0.000 0.641
```

Computed properties:
The value obtained for the mass density is 11516 kg/m³. The value obtained for the excess energy over the best structure of this formula in the dataset is 15 kJ/mol of formula units. The calculation puts the calculated total energy at -3.6247 eV per atom. The value obtained for the formation energy is 12 meV per atom. As for the density of states at the Fermi level: 4.47 states/eV per cell.


3.
Density functional theory data (GGA-PBE) for PbAu4 after structural relaxation.

CIF file:
```
data_PbAu4
_space_group_name_H-M_alt 'C 1 2/m 1'
_space_group_IT_number 12
_space_group_name_Hall '-C 2y'
_cell_length_a 8.289
_cell_length_b 5.127
_cell_length_c 5.134
_cell_angle_alpha 90.00
_cell_angle_beta 108.19
_cell_angle_gamma 90.00
loop_
_atom_site_label
_atom_site_type_symbol
_atom_site_fract_x
_atom_site_fract_y
_atom_site_fract_z
Pb1 Pb 0.000 0.000 0.000
Au1 Au 0.099 0.500 0.780
Au2 Au 0.226 0.000 0.626
```

Computed properties:
The value obtained for the mass density is 15944 kg/m³. The calculation puts the calculated total energy at -3.3401 eV per atom. The value obtained for the formation energy is 23 meV per atom. As for the density of states at the Fermi level: 2.90 states/eV per cell.


4.
Density functional theory data (GGA-PBE) for Pb5Au after structural relaxation.

CIF file:
```
data_Pb5Au
_space_group_name_H-M_alt 'P -6 2 m'
_space_group_IT_number 189
_space_group_name_Hall 'P -6 -2'
_cell_length_a 6.0618
_cell_length_b 6.0618
_cell_length_c 5.4724
_cell_angle_alpha 90.00
_cell_angle_beta 90.00
_cell_angle_gamma 120.00
loop_
_atom_site_label
_atom_site_type_symbol
_atom_site_fract_x
_atom_site_fract_y
_atom_site_fract_z
Pb1 Pb 0.0000 0.6823 0.0000
Pb2 Pb 0.3333 0.6667 0.5000
Au1 Au 0.0000 0.0000 0.5000
```

Computed properties:
The value obtained for the mass density is 11757 kg/m³. The value obtained for the excess energy over the best structure of this formula in the dataset is 35 kJ/mol of formula units. The calculation puts the calculated total energy at -3.5887 eV per atom. The value obtained for the formation energy is 48 meV per atom. As for the density of states at the Fermi level: 2.39 states/eV per cell.


5.
Density functional theory data (GGA-PBE) for Pb4Au after structural relaxation.

CIF file:
```
data_Pb4Au
_space_group_name_H-M_alt 'I 4/m m m'
_space_group_IT_number 139
_space_group_name_Hall '-I 4 2'
_cell_length_a 4.367
_cell_length_b 4.367
_cell_length_c 16.707
_cell_angle_alpha 90.00
_cell_angle_beta 90.00
_cell_angle_gamma 90.00
loop_
_atom_site_label
_atom_site_type_symbol
_atom_site_fract_x
_atom_site_fract_y
_atom_site_fract_z
Pb1 Pb 0.000 0.000 0.093
Pb2 Pb 0.000 0.500 0.250
Au1 Au 0.000 0.000 0.500
```

Computed properties:
The value obtained for the mass density is 10691 kg/m³. The calculation puts the calculated total energy at -3.3833 eV per atom. The value obtained for the formation energy is 239 meV per atom. As for the density of states at the Fermi level: 5.09 states/eV per cell.


6.
Density functional theory data (GGA-PBE) for Pb5Au24 after structural relaxation.

CIF file:
```
data_Pb5Au24
_space_group_name_H-M_alt 'I -4 3 m'
_space_group_IT_number 217
_space_group_name_Hall 'I -4 2 3'
_cell_length_a 10.550
_cell_length_b 10.550
_cell_length_c 10.550
_cell_angle_alpha 90.00
_cell_angle_beta 90.00
_cell_angle_gamma 90.00
loop_
_atom_site_label
_atom_site_type_symbol
_atom_site_fract_x
_atom_site_fract_y
_atom_site_fract_z
Pb1 Pb 0.000 0.000 0.000
Pb2 Pb 0.183 0.183 0.183
Au1 Au 0.051 0.370 0.630
Au2 Au 0.097 0.097 0.712
```

Computed properties:
The value obtained for the mass density is 16298 kg/m³. The calculation puts the calculated total energy at -3.3208 eV per atom. The value obtained for the formation energy is 31 meV per atom. As for the density of states at the Fermi level: 22.74 states/eV per cell.


7.
Density functional theory data (GGA-PBE) for Pb5Au4 after structural relaxation.

CIF file:
```
data_Pb5Au4
_space_group_name_H-M_alt 'P 63/m c m'
_space_group_IT_number 193
_space_group_name_Hall '-P 6c 2'
_cell_length_a 9.1519
_cell_length_b 9.1519
_cell_length_c 6.3128
_cell_angle_alpha 90.00
_cell_angle_beta 90.00
_cell_angle_gamma 120.00
loop_
_atom_site_label
_atom_site_type_symbol
_atom_site_fract_x
_atom_site_fract_y
_atom_site_fract_z
Pb1 Pb 0.0000 0.2803 0.2500
Pb2 Pb 0.3333 0.6667 0.0000
Au1 Au 0.0000 0.0000 0.0000
Au2 Au 0.0000 0.3795 0.7500
```

Computed properties:
The value obtained for the mass density is 13228 kg/m³. The value obtained for the excess energy over the best structure of this formula in the dataset is 30 kJ/mol of formula units. The calculation puts the calculated total energy at -3.5461 eV per atom. The value obtained for the formation energy is -29 meV per atom. As for the density of states at the Fermi level: 5.05 states/eV per cell.


8.
Density functional theory data (GGA-PBE) for Pb17Au12 after structural relaxation.

CIF file:
```
data_Pb17Au12
_space_group_name_H-M_alt 'I -4 3 m'
_space_group_IT_number 217
_space_group_name_Hall 'I -4 2 3'
_cell_length_a 11.400
_cell_length_b 11.400
_cell_length_c 11.400
_cell_angle_alpha 90.00
_cell_angle_beta 90.00
_cell_angle_gamma 90.00
loop_
_atom_site_label
_atom_site_type_symbol
_atom_site_fract_x
_atom_site_fract_y
_atom_site_fract_z
Pb1 Pb 0.000 0.000 0.000
Pb2 Pb 0.039 0.352 0.648
Pb3 Pb 0.166 0.166 0.166
Au1 Au 0.090 0.090 0.725
```

Computed properties:
The value obtained for the mass density is 13193 kg/m³. The calculation puts the calculated total energy at -3.5261 eV per atom. The value obtained for the formation energy is 4 meV per atom. As for the density of states at the Fermi level: 32.15 states/eV per cell.


9.
Density functional theory data (GGA-PBE) for Pb3Au2 after structural relaxation.

CIF file:
```
data_Pb3Au2
_space_group_name_H-M_alt 'R -3 c'
_space_group_IT_number 167
_space_group_name_Hall '-R 3 2"c'
_cell_length_a 7.4374
_cell_length_b 7.4374
_cell_length_c 18.1536
_cell_angle_alpha 90.00
_cell_angle_beta 90.00
_cell_angle_gamma 120.00
loop_
_atom_site_label
_atom_site_type_symbol
_atom_site_fract_x
_atom_site_fract_y
_atom_site_fract_z
Pb1 Pb 0.0000 0.3566 0.2500
Au1 Au 0.0000 0.0000 0.1702
```

Computed properties:
The value obtained for the mass density is 11635 kg/m³. The calculation puts the calculated total energy at -3.5359 eV per atom. The value obtained for the formation energy is 0 meV per atom. As for the density of states at the Fermi level: 16.33 states/eV per cell.


10.
Density functional theory data (GGA-PBE) for Pb5Au after structural relaxation.

CIF file:
```
data_Pb5Au
_space_group_name_H-M_alt 'C m m m'
_space_group_IT_number 65
_space_group_name_Hall '-C 2 2'
_cell_length_a 4.841
_cell_length_b 14.678
_cell_length_c 4.895
_cell_angle_alpha 90.00
_cell_angle_beta 90.00
_cell_angle_gamma 90.00
loop_
_atom_site_label
_atom_site_type_symbol
_atom_site_fract_x
_atom_site_fract_y
_atom_site_fract_z
Pb1 Pb 0.000 0.000 0.000
Pb2 Pb 0.000 0.158 0.500
Pb3 Pb 0.000 0.339 0.000
Au1 Au 0.000 0.500 0.500
```

Computed properties:
The value obtained for the mass density is 11774 kg/m³. The value obtained for the excess energy over the best structure of this formula in the dataset is 16 kJ/mol of formula units. The calculation puts the calculated total energy at -3.6226 eV per atom. The value obtained for the formation energy is 14 meV per atom. As for the density of states at the Fermi level: 4.47 states/eV per cell.